First-principles (GGA-PBE) data for a geometry-optimized La2SmEr2Mg5 structure, as listed in Alexandria via LeMat-Bulk.

Values from the calculation:
Volume (A^3/atom): 29.2
Crystal system: tetragonal
Energy relative to the elements (meV per atom): 4
Electronic total energy (eV per cell): -63.3

a b c (Å): 5.1275 10.6727 10.6727
angles (deg): 90.00 90.00 90.00
Last column: nearest neighbours and their distance in Å.
Fractional coordinates of all 20 atoms:
Mg: 0.5000 0.5000 0.0000  4 Er 3.14, 4 Mg 3.30
La: 0.0000 0.6757 0.1757  3 Er 3.08-3.21
Mg: 0.5000 0.0732 0.8004  4 Mg 3.21-3.43, 2 Er 3.25, 2 Sm 3.42
Er: 0.0000 0.3800 0.1200  3 La 3.08-3.21, 6 Mg 3.14-3.25
Mg: 0.5000 0.9268 0.1996  4 Mg 3.21-3.43, 2 Er 3.25, 2 Sm 3.42
La: 0.0000 0.8243 0.6757  3 Er 3.08-3.21
La: 0.0000 0.1757 0.3243  3 Er 3.08-3.21
Er: 0.0000 0.6200 0.8800  3 La 3.08-3.21, 6 Mg 3.14-3.25
Sm: 0.0000 0.0000 0.0000  8 Mg 3.42
Mg: 0.5000 0.6996 0.4268  4 Mg 3.21-3.43, 2 Er 3.25, 2 Sm 3.42
Mg: 0.5000 0.5732 0.6996  4 Mg 3.21-3.43, 2 Er 3.25, 2 Sm 3.42
Mg: 0.5000 0.0000 0.5000  4 Er 3.14, 4 Mg 3.30
Mg: 0.5000 0.1996 0.0732  4 Mg 3.21-3.43, 2 Er 3.25, 2 Sm 3.42
Mg: 0.5000 0.8004 0.9268  4 Mg 3.21-3.43, 2 Er 3.25, 2 Sm 3.42
La: 0.0000 0.3243 0.8243  3 Er 3.08-3.21
Er: 0.0000 0.1200 0.6200  3 La 3.08-3.21, 6 Mg 3.14-3.25
Sm: 0.0000 0.5000 0.5000  8 Mg 3.42
Mg: 0.5000 0.3004 0.5732  4 Mg 3.21-3.43, 2 Er 3.25, 2 Sm 3.42
Mg: 0.5000 0.4268 0.3004  4 Mg 3.21-3.43, 2 Er 3.25, 2 Sm 3.42
Er: 0.0000 0.8800 0.3800  3 La 3.08-3.21, 6 Mg 3.14-3.25